[1]
PBE PmSm2Rh, optimized geometry; theoretical density = 7.4 g/cm3; E_form = -296 meV per atom; energy above the most stable polymorph in this dataset = 0.63 eV/f.u.; density of states at the Fermi level = 4.467 states/eV/f.u.
1.0
3.853 0.000 0.000
-1.927 3.337 0.000
0.000 0.000 28.595
Pm Sm Rh
3 6 3
direct
0.000 0.000 0.000
0.333 0.667 0.667
0.667 0.333 0.333
0.000 0.000 0.226
0.000 0.000 0.774
0.333 0.667 0.441
0.333 0.667 0.893
0.667 0.333 0.107
0.667 0.333 0.559
0.000 0.000 0.500
0.333 0.667 0.167
0.667 0.333 0.833


[2]
PBE Pm2Sm2Rh3, optimized geometry; theoretical density = 7.8 g/cm3; E_form = -575 meV per atom; energy above the most stable polymorph in this dataset = 0.63 eV/f.u.; density of states at the Fermi level = 3.865 states/eV/f.u.
1.0
4.167 0.000 0.000
-2.079 6.592 0.000
-0.008 -1.181 6.932
Pm Sm Rh
2 2 3
direct
0.135 0.267 0.363
0.865 0.733 0.637
0.374 0.747 0.109
0.626 0.253 0.891
0.000 0.000 0.000
0.238 0.479 0.744
0.762 0.521 0.256